--- A ---
# MnV2Ni8 (PBE-GGA, relaxed)
# volume = 132 Å³ per cell
# magnetization = 0.38 μB per atom
data_MnV2Ni8
_chemical_formula_sum 'Mn1 V2 Ni8'
_cell_length_a 7.0213
_cell_length_b 7.0213
_cell_length_c 7.0213
_cell_angle_alpha 143.88
_cell_angle_beta 139.21
_cell_angle_gamma 55.61
_space_group_name_H-M_alt 'P 1'
_space_group_IT_number 1
loop_
_space_group_symop_operation_xyz
'x,y,z'
loop_
_atom_site_label
_atom_site_fract_x
_atom_site_fract_y
_atom_site_fract_z
Mn1 0.0000 0.0000 0.0000
V1 0.3179 0.8179 0.5000
V2 0.6821 0.1821 0.5000
Ni1 0.1030 0.3649 0.7381
Ni2 0.1988 0.1988 0.0000
Ni3 0.3731 0.6351 0.7381
Ni4 0.5000 0.2476 0.7476
Ni5 0.5000 0.7524 0.2524
Ni6 0.6269 0.3649 0.2619
Ni7 0.8012 0.8012 0.0000
Ni8 0.8970 0.6351 0.2619

--- B ---
# MnV2Ni8 (PBE-GGA, relaxed)
# volume = 130 Å³ per cell
# magnetization = 0.22 μB per atom
data_MnV2Ni8
_chemical_formula_sum 'Mn1 V2 Ni8'
_cell_length_a 6.5371
_cell_length_b 6.5371
_cell_length_c 6.5371
_cell_angle_alpha 149.02
_cell_angle_beta 113.15
_cell_angle_gamma 75.50
_space_group_name_H-M_alt 'P 1'
_space_group_IT_number 1
loop_
_space_group_symop_operation_xyz
'x,y,z'
loop_
_atom_site_label
_atom_site_fract_x
_atom_site_fract_y
_atom_site_fract_z
Mn1 0.0000 0.0000 0.0000
V1 0.3423 0.3423 0.0000
V2 0.6577 0.6577 0.0000
Ni1 0.0889 0.8366 0.2524
Ni2 0.1750 0.6750 0.5000
Ni3 0.2512 0.5000 0.7512
Ni4 0.4158 0.1634 0.2524
Ni5 0.5842 0.8366 0.7476
Ni6 0.7488 0.5000 0.2488
Ni7 0.8250 0.3250 0.5000
Ni8 0.9111 0.1634 0.7476

Short version: B, A, most stable first.

--- A ---
# MnV3Ni (PBE-GGA, relaxed)
# volume = 76 Å³ per cell
# magnetization = 0.00 μB per atom
data_MnV3Ni
_chemical_formula_sum 'Mn1 V3 Ni1'
_cell_length_a 4.2407
_cell_length_b 4.2407
_cell_length_c 4.2407
_cell_angle_alpha 90.00
_cell_angle_beta 90.00
_cell_angle_gamma 90.00
_space_group_name_H-M_alt 'P 1'
_space_group_IT_number 1
loop_
_space_group_symop_operation_xyz
'x,y,z'
loop_
_atom_site_label
_atom_site_fract_x
_atom_site_fract_y
_atom_site_fract_z
Mn1 0.0000 0.0000 0.0000
V1 0.0000 0.0000 0.5000
V2 0.0000 0.5000 0.0000
V3 0.5000 0.0000 0.0000
Ni1 0.5000 0.5000 0.5000

--- B ---
# MnV3Ni (PBE-GGA, relaxed)
# volume = 82 Å³ per cell
# magnetization = 0.35 μB per atom
data_MnV3Ni
_chemical_formula_sum 'Mn1 V3 Ni1'
_cell_length_a 4.3489
_cell_length_b 4.3489
_cell_length_c 4.3489
_cell_angle_alpha 90.00
_cell_angle_beta 90.00
_cell_angle_gamma 90.00
_space_group_name_H-M_alt 'P 1'
_space_group_IT_number 1
loop_
_space_group_symop_operation_xyz
'x,y,z'
loop_
_atom_site_label
_atom_site_fract_x
_atom_site_fract_y
_atom_site_fract_z
Mn1 0.0000 0.0000 0.0000
V1 0.0000 0.5000 0.5000
V2 0.5000 0.0000 0.5000
V3 0.5000 0.5000 0.0000
Ni1 0.5000 0.5000 0.5000

Short version: A, B, most stable first.

--- A ---
# MnNi2W (PBE-GGA, relaxed)
# volume = 50 Å³ per cell
# magnetization = 0.47 μB per atom
data_MnNi2W
_chemical_formula_sum 'Mn1 Ni2 W1'
_cell_length_a 2.6287
_cell_length_b 4.1597
_cell_length_c 4.5297
_cell_angle_alpha 90.00
_cell_angle_beta 90.06
_cell_angle_gamma 90.00
_space_group_name_H-M_alt 'P 1'
_space_group_IT_number 1
loop_
_space_group_symop_operation_xyz
'x,y,z'
loop_
_atom_site_label
_atom_site_fract_x
_atom_site_fract_y
_atom_site_fract_z
Mn1 0.0000 0.0000 0.0000
Ni1 0.4994 0.0000 0.5161
Ni2 0.4990 0.5000 0.8339
W1 0.9980 0.5000 0.3359

--- B ---
# MnNi2W (PBE-GGA, relaxed)
# volume = 49 Å³ per cell
# magnetization = 0.23 μB per atom
data_MnNi2W
_chemical_formula_sum 'Mn1 Ni2 W1'
_cell_length_a 3.5794
_cell_length_b 3.5794
_cell_length_c 3.7949
_cell_angle_alpha 90.00
_cell_angle_beta 90.00
_cell_angle_gamma 90.00
_space_group_name_H-M_alt 'P 1'
_space_group_IT_number 1
loop_
_space_group_symop_operation_xyz
'x,y,z'
loop_
_atom_site_label
_atom_site_fract_x
_atom_site_fract_y
_atom_site_fract_z
Mn1 0.0000 0.0000 0.0000
Ni1 0.0000 0.5000 0.5000
Ni2 0.5000 0.0000 0.5000
W1 0.5000 0.5000 0.0000

Short version: B, A, most stable first.

--- A ---
# MnNi2W (PBE-GGA, relaxed)
# volume = 50 Å³ per cell
# magnetization = 0.69 μB per atom
data_MnNi2W
_chemical_formula_sum 'Mn1 Ni2 W1'
_cell_length_a 2.6264
_cell_length_b 3.7390
_cell_length_c 5.0968
_cell_angle_alpha 90.00
_cell_angle_beta 90.00
_cell_angle_gamma 90.00
_space_group_name_H-M_alt 'P 1'
_space_group_IT_number 1
loop_
_space_group_symop_operation_xyz
'x,y,z'
loop_
_atom_site_label
_atom_site_fract_x
_atom_site_fract_y
_atom_site_fract_z
Mn1 0.0000 0.0000 0.0000
Ni1 0.5000 0.5000 0.2453
Ni2 0.5000 0.5000 0.7547
W1 0.0000 0.0000 0.5000

--- B ---
# MnNi2W (PBE-GGA, relaxed)
# volume = 52 Å³ per cell
# magnetization = 1.04 μB per atom
data_MnNi2W
_chemical_formula_sum 'Mn1 Ni2 W1'
_cell_length_a 2.6672
_cell_length_b 2.6672
_cell_length_c 7.2415
_cell_angle_alpha 90.00
_cell_angle_beta 90.00
_cell_angle_gamma 90.00
_space_group_name_H-M_alt 'P 1'
_space_group_IT_number 1
loop_
_space_group_symop_operation_xyz
'x,y,z'
loop_
_atom_site_label
_atom_site_fract_x
_atom_site_fract_y
_atom_site_fract_z
Mn1 0.0000 0.0000 0.0000
Ni1 0.5000 0.5000 0.2408
Ni2 0.5000 0.5000 0.7592
W1 0.0000 0.0000 0.5000

--- C ---
# MnNi2W (PBE-GGA, relaxed)
# volume = 51 Å³ per cell
# magnetization = 0.73 μB per atom
data_MnNi2W
_chemical_formula_sum 'Mn1 Ni2 W1'
_cell_length_a 4.4891
_cell_length_b 4.4891
_cell_length_c 4.5183
_cell_angle_alpha 100.66
_cell_angle_beta 100.66
_cell_angle_gamma 34.47
_space_group_name_H-M_alt 'P 1'
_space_group_IT_number 1
loop_
_space_group_symop_operation_xyz
'x,y,z'
loop_
_atom_site_label
_atom_site_fract_x
_atom_site_fract_y
_atom_site_fract_z
Mn1 0.0000 0.0000 0.0000
Ni1 0.2538 0.2538 0.7756
Ni2 0.5079 0.5079 0.5184
W1 0.7547 0.7547 0.2829

--- D ---
# MnNi2W (PBE-GGA, relaxed)
# volume = 52 Å³ per cell
# magnetization = 0.99 μB per atom
data_MnNi2W
_chemical_formula_sum 'Mn1 Ni2 W1'
_cell_length_a 8.5442
_cell_length_b 8.5442
_cell_length_c 8.5442
_cell_angle_alpha 18.07
_cell_angle_beta 18.07
_cell_angle_gamma 18.07
_space_group_name_H-M_alt 'P 1'
_space_group_IT_number 1
loop_
_space_group_symop_operation_xyz
'x,y,z'
loop_
_atom_site_label
_atom_site_fract_x
_atom_site_fract_y
_atom_site_fract_z
Mn1 0.0000 0.0000 0.0000
Ni1 0.2533 0.2533 0.2533
Ni2 0.7467 0.7467 0.7467
W1 0.5000 0.5000 0.5000

Short version: A, B, C, D, most stable first.

--- A ---
# MnNi2W (PBE-GGA, relaxed)
# volume = 49 Å³ per cell
# magnetization = 0.53 μB per atom
data_MnNi2W
_chemical_formula_sum 'Mn1 Ni2 W1'
_cell_length_a 4.5013
_cell_length_b 4.5013
_cell_length_c 4.5013
_cell_angle_alpha 132.00
_cell_angle_beta 132.00
_cell_angle_gamma 70.23
_space_group_name_H-M_alt 'P 1'
_space_group_IT_number 1
loop_
_space_group_symop_operation_xyz
'x,y,z'
loop_
_atom_site_label
_atom_site_fract_x
_atom_site_fract_y
_atom_site_fract_z
Mn1 0.0000 0.0000 0.0000
Ni1 0.2500 0.7500 0.5000
Ni2 0.5000 0.5000 0.0000
W1 0.7500 0.2500 0.5000

--- B ---
# MnNi2W (PBE-GGA, relaxed)
# volume = 51 Å³ per cell
# magnetization = 0.71 μB per atom
data_MnNi2W
_chemical_formula_sum 'Mn1 Ni2 W1'
_cell_length_a 2.6379
_cell_length_b 2.6379
_cell_length_c 7.2584
_cell_angle_alpha 90.00
_cell_angle_beta 90.00
_cell_angle_gamma 90.00
_space_group_name_H-M_alt 'P 1'
_space_group_IT_number 1
loop_
_space_group_symop_operation_xyz
'x,y,z'
loop_
_atom_site_label
_atom_site_fract_x
_atom_site_fract_y
_atom_site_fract_z
Mn1 0.0000 0.0000 0.0000
Ni1 0.0000 0.0000 0.4661
Ni2 0.5000 0.5000 0.2332
W1 0.5000 0.5000 0.7210

Short version: A, B, most stable first.

--- A ---
# MnNi2W (PBE-GGA, relaxed)
# volume = 49 Å³ per cell
# magnetization = 0.33 μB per atom
data_MnNi2W
_chemical_formula_sum 'Mn1 Ni2 W1'
_cell_length_a 4.1151
_cell_length_b 4.1151
_cell_length_c 4.1151
_cell_angle_alpha 60.00
_cell_angle_beta 60.00
_cell_angle_gamma 60.00
_space_group_name_H-M_alt 'P 1'
_space_group_IT_number 1
loop_
_space_group_symop_operation_xyz
'x,y,z'
loop_
_atom_site_label
_atom_site_fract_x
_atom_site_fract_y
_atom_site_fract_z
Mn1 0.0000 0.0000 0.0000
Ni1 0.5000 0.5000 0.5000
Ni2 0.7500 0.7500 0.7500
W1 0.2500 0.2500 0.2500

--- B ---
# MnNi2W (PBE-GGA, relaxed)
# volume = 49 Å³ per cell
# magnetization = 0.51 μB per atom
data_MnNi2W
_chemical_formula_sum 'Mn1 Ni2 W1'
_cell_length_a 4.5555
_cell_length_b 4.5555
_cell_length_c 4.5555
_cell_angle_alpha 133.37
_cell_angle_beta 133.37
_cell_angle_gamma 68.07
_space_group_name_H-M_alt 'P 1'
_space_group_IT_number 1
loop_
_space_group_symop_operation_xyz
'x,y,z'
loop_
_atom_site_label
_atom_site_fract_x
_atom_site_fract_y
_atom_site_fract_z
Mn1 0.0000 0.0000 0.0000
Ni1 0.2500 0.7500 0.5000
Ni2 0.7500 0.2500 0.5000
W1 0.5000 0.5000 0.0000

--- C ---
# MnNi2W (PBE-GGA, relaxed)
# volume = 50 Å³ per cell
# magnetization = 0.69 μB per atom
data_MnNi2W
_chemical_formula_sum 'Mn1 Ni2 W1'
_cell_length_a 4.5247
_cell_length_b 4.5247
_cell_length_c 2.6369
_cell_angle_alpha 90.12
_cell_angle_beta 90.12
_cell_angle_gamma 111.25
_space_group_name_H-M_alt 'P 1'
_space_group_IT_number 1
loop_
_space_group_symop_operation_xyz
'x,y,z'
loop_
_atom_site_label
_atom_site_fract_x
_atom_site_fract_y
_atom_site_fract_z
Mn1 0.0000 0.0000 0.0000
Ni1 0.0000 0.5000 0.5000
Ni2 0.5000 0.0000 0.5000
W1 0.5000 0.5000 0.0000

--- D ---
# MnNi2W (PBE-GGA, relaxed)
# volume = 104 Å³ per cell
# magnetization = 0.00 μB per atom
data_MnNi2W
_chemical_formula_sum 'Mn2 Ni4 W2'
_cell_length_a 9.0444
_cell_length_b 9.0444
_cell_length_c 9.0444
_cell_angle_alpha 157.97
_cell_angle_beta 157.97
_cell_angle_gamma 31.36
_space_group_name_H-M_alt 'P 1'
_space_group_IT_number 1
loop_
_space_group_symop_operation_xyz
'x,y,z'
loop_
_atom_site_label
_atom_site_fract_x
_atom_site_fract_y
_atom_site_fract_z
Mn1 0.0000 0.0000 0.0000
Mn2 0.7500 0.2500 0.5000
Ni1 0.1110 0.6250 0.9860
Ni2 0.3750 0.3610 0.4860
Ni3 0.6390 0.1250 0.0140
Ni4 0.8750 0.8890 0.5140
W1 0.2500 0.7500 0.5000
W2 0.5000 0.5000 0.0000

Short version: B, C, A, D, most stable first.